Record 1
Entry from OQMD via LeMat-Bulk: crystalline FeHg2Pd at its relaxed geometry (PBE).

- total energy (eV per atom) = -3.253
- space group = F-43m
- energy of formation from the pure elements (eV per atom) = 0.27
- magnetic moment (μB per cell) = 3.2

Lattice parameters (Å, degrees): 4.653 4.653 4.653 60.00 60.00 60.00
Fractional positions:
Fe 0.250 0.250 0.250
Hg 0.000 0.000 0.000
Hg 0.750 0.750 0.750
Pd 0.500 0.500 0.500

Record 2
Entry from OQMD via LeMat-Bulk: crystalline Fe4Hg2Pd at its relaxed geometry (PBE).

- total energy (eV per atom) = -4.551
- space group = I4/mmm
- energy of formation from the pure elements (eV per atom) = 1.02
- magnetic moment (μB per cell) = 12.9

Lattice parameters (Å, degrees): 7.422 7.422 7.422 143.59 143.59 52.44
Each line ends with the local moment (μB).
Fractional positions:
Fe 0.183 0.183 0.000  3.24
Fe 0.817 0.817 0.000  3.24
Fe 0.500 0.000 0.500  3.16
Fe 0.000 0.500 0.500  2.89
Hg 0.377 0.377 0.000  -0.02
Hg 0.623 0.623 0.000  -0.02
Pd 0.000 0.000 0.000  0.42

Record 3
Entry from OQMD via LeMat-Bulk: crystalline TlFeHgPd at its relaxed geometry (PBE).

- total energy (eV per atom) = -3.773
- space group = F-43m
- energy above the lowest structure with this stoichiometry (eV per atom) = 0.0000
- magnetic moment (μB per cell) = 2.8

Lattice parameters (Å, degrees): 4.698 4.698 4.698 60.00 60.00 60.00
Fractional positions:
Fe 0.750 0.750 0.750
Hg 0.500 0.500 0.500
Pd 0.250 0.250 0.250
Tl 0.000 0.000 0.000

Record 4
Entry from OQMD via LeMat-Bulk: crystalline ZnFeHgPd at its relaxed geometry (PBE).

- total energy (eV per atom) = -3.675
- space group = F-43m
- energy of formation from the pure elements (eV per atom) = 0.09
- energy above the lowest structure with this stoichiometry (eV per atom) = 0.0000
- magnetic moment (μB per cell) = 2.7

Lattice parameters (Å, degrees): 4.472 4.472 4.472 60.00 60.00 60.00
Fractional positions:
Fe 0.750 0.750 0.750
Hg 0.500 0.500 0.500
Pd 0.250 0.250 0.250
Zn 0.000 0.000 0.000

Question: What is the total energy in the second record?
Answer: -4.551 eV per atom

Question: The highest total energy belongs to which entry?
Answer: FeHg2Pd

Question: Which of these has the lowest magnetic moment?
Answer: ZnFeHgPd